# 1
The following is a DFT calculation (PBE) of a geometry-optimized Tm2LuP structure.

Unit cell a=10.162 b=10.162 c=10.162 alpha=20.78 beta=20.78 gamma=20.78
Element x y z (fractional)
Tm (0.112, 0.112, 0.112)
Tm (0.888, 0.888, 0.888)
Lu (0.000, 0.000, 0.000)
P (0.500, 0.500, 0.500)

The value obtained for the formation energy is -458 meV per atom. The density of states at the Fermi level is 4.906 states/eV/cell. The calculation puts the density at 7.81 g/cm3. The space group is R-3m (166).

# 2
The following is a DFT calculation (PBE) of a geometry-optimized TmLuP structure.

Unit cell a=3.824 b=3.824 c=6.170 alpha=90.00 beta=90.00 gamma=120.00
Element x y z (fractional)
Tm (0.000, 0.000, 0.000)
Lu (0.333, 0.667, 0.507)
P (0.667, 0.333, 0.256)

The value obtained for the formation energy is -945 meV per atom. The density of states at the Fermi level is 2.678 states/eV/cell. The calculation puts the density at 7.97 g/cm3. The space group is P3m1 (156).

Question: Which formula does entry 1 have?
Answer: Tm2LuP